First-principles (PBE-GGA) data for a relaxed structure of Pr3HoPu2S6, as listed in Alexandria.

```
Pr3HoPu2S6
1.0
3.467 -6.007 0.000
3.467 6.007 0.000
-2.308 0.000 6.615
Pr Ho Pu S
3 1 2 6
direct
0.000 0.000 0.000
0.332 0.668 0.000
0.668 0.332 0.000
0.500 0.500 0.500
0.166 0.834 0.500
0.834 0.166 0.500
0.091 0.422 0.266
0.248 0.248 0.736
0.422 0.091 0.266
0.578 0.909 0.734
0.752 0.752 0.264
0.909 0.578 0.734
```

Output
* uncorrected energy: -0.58598 Ry per atom
* energy relative to the elements, uncorrected: -23.3 eV per formula unit


First-principles (PBE-GGA) data for a relaxed structure of RhSe, as listed in Alexandria.

```
RhSe
1.0
10.550 0.000 0.000
0.000 10.550 0.000
0.000 0.000 3.930
Rh Se
8 8
direct
0.066 0.618 0.000
0.105 0.292 0.500
0.292 0.895 0.500
0.382 0.066 0.000
0.618 0.934 0.000
0.708 0.105 0.500
0.895 0.708 0.500
0.934 0.382 0.000
0.128 0.738 0.500
0.165 0.412 0.000
0.262 0.128 0.500
0.412 0.835 0.000
0.588 0.165 0.000
0.738 0.872 0.500
0.835 0.588 0.000
0.872 0.262 0.500
```

Output
* uncorrected energy: -0.41488 Ry per atom
* energy relative to the elements, uncorrected: -0.5 eV per formula unit


First-principles (PBE-GGA) data for a relaxed structure of MgScHg2, as listed in Alexandria.

```
MgScHg2
1.0
3.472 -3.469 0.000
3.472 3.469 0.000
-0.014 0.000 3.552
Mg Sc Hg
1 1 2
direct
0.000 0.000 0.000
0.500 0.500 0.000
0.000 0.500 0.500
0.500 0.000 0.500
```

Output
* uncorrected energy: -0.18319 Ry per atom
* calculated formation energy: -0.36 eV per atom


First-principles (PBE-GGA) data for a relaxed structure of ZrCu2Pt2, as listed in Alexandria.

```
ZrCu2Pt2
1.0
4.352 -2.000 0.000
4.352 2.000 0.000
-4.220 0.000 4.425
Zr Cu Pt
1 2 2
direct
0.000 0.000 0.000
0.408 0.408 0.221
0.592 0.592 0.779
0.206 0.206 0.621
0.794 0.794 0.379
```

Output
* uncorrected energy: -0.46586 Ry per atom
* calculated formation energy: -0.57 eV per atom


- Look up the uncorrected energy of the first one.
  -0.58598 Ry per atom


- Look up the uncorrected energy of the third one.
  -0.18319 Ry per atom


- What is the uncorrected energy in the first record?
  -0.58598 Ry per atom